Record 1
A relaxed structure of TiAsI3. Source: the Alexandria database, functional PBE.

Values from the calculation:
total moment = 4.0 μB per cell
relative energy among the computed polymorphs = 0.000 eV per atom
raw formation energy = 0.119 eV per atom

Structure (extended XYZ):
```
5
Lattice="-2.021 4.095 3.276 -3.631 -3.626 2.293 3.784 -1.292 3.950" Properties=species:S:1:pos:R:3 pbc="T T T"
Ti 0.000 0.000 0.000
I -1.011 2.048 1.638
I -1.815 -1.813 1.146
I 1.892 -0.646 1.975
As -0.934 -0.412 4.759
```

Record 2
A relaxed structure of PmHo2Zn2. Source: the Alexandria database, functional PBE.

Values from the calculation:
total moment = 0.0 μB per cell
relative energy among the computed polymorphs = 0.064 eV per atom
E_form = -0.98 eV/f.u.

Structure (extended XYZ):
```
10
Lattice="5.248 0.000 0.000 0.000 6.220 0.000 -2.624 0.000 7.666" Properties=species:S:1:pos:R:3 pbc="T T T"
Ho 2.624 4.716 7.027
Ho 0.000 4.027 3.084
Ho 0.000 1.606 0.638
Ho 2.624 0.917 4.581
Pm 2.624 5.639 1.290
Pm 0.000 2.529 6.376
Zn 2.624 2.571 1.938
Zn 2.624 3.981 4.289
Zn 0.000 5.681 5.728
Zn 0.000 0.871 3.377
```

Record 3
A relaxed structure of K5Ce3Br12. Source: the Alexandria database, functional PBE.

Values from the calculation:
total moment = 20.0 μB per cell
raw formation energy = -1.546 eV per atom

Structure (extended XYZ):
```
80
Lattice="-6.094 -12.959 -7.091 3.244 -3.324 15.290 -10.591 11.944 -0.723" Properties=species:S:1:pos:R:3 pbc="T T T"
Br -0.364 -4.031 8.526
Br -4.054 -6.526 -0.493
Br -1.524 -0.046 13.256
Br -7.531 -2.437 9.811
Br -1.189 -7.088 7.127
Br -9.387 2.188 7.969
Br -3.706 -2.075 9.078
Br -6.128 -5.572 -3.669
Br -8.494 6.209 -0.148
Br -9.061 -6.934 -2.434
Br -7.157 -6.948 0.983
Br -4.731 -9.203 -3.264
Br -12.251 2.749 0.348
Br -2.694 -13.075 8.346
Br -5.595 -4.722 5.335
Br -7.990 1.216 -1.216
Br -14.554 -2.055 -5.644
Br -6.130 5.863 8.659
Br -7.845 0.384 2.140
Br -0.223 -2.206 5.069
Br -4.338 -9.488 3.908
Br -5.027 -2.081 1.007
Br -10.746 8.737 -0.871
Br -7.755 7.630 5.571
Br -4.379 2.596 9.909
Br -13.076 -0.308 -1.050
Br -4.473 3.774 1.835
Br 1.113 -2.284 13.119
Br -9.103 5.149 3.568
Br -11.485 0.637 3.550
Br -8.968 -8.113 5.641
Br -5.909 -1.902 -2.336
Br -10.867 -5.221 5.763
Br -5.451 -5.555 8.692
Br -6.284 2.609 6.493
Br -8.414 -2.258 6.469
Br -7.312 1.234 11.145
Br -1.956 -4.976 3.926
Br -11.917 -4.293 -5.781
Br -9.735 -2.264 -1.603
Br -8.710 4.865 10.739
Br -4.758 -0.955 5.976
Br -2.573 0.883 1.713
Br -4.946 -10.548 7.623
Br -7.311 -10.201 -1.183
Br -13.218 -2.133 2.407
Br -5.685 -11.968 1.905
Br -8.682 -3.383 1.499
Ce -10.535 -0.388 0.759
Ce -6.969 -4.451 -0.881
Ce -8.351 -5.163 7.608
Ce -4.223 -12.339 5.172
Ce -5.866 4.430 11.950
Ce -2.905 -3.951 6.716
Ce -4.678 -9.473 0.325
Ce -5.090 0.824 -0.133
Ce -9.218 8.000 2.303
Ce -7.574 -8.769 -4.474
Ce -8.763 5.134 7.151
Ce -6.471 0.113 8.356
K -2.300 0.366 10.310
K -6.720 -2.169 3.738
K -1.425 -8.141 4.099
K -13.432 0.316 -4.040
K -11.140 -4.705 -2.834
K -0.009 -4.655 11.516
K -2.798 -4.198 1.073
K -3.673 4.310 7.283
K -6.926 2.979 3.509
K -5.295 5.972 -0.362
K -3.618 -8.022 8.766
K -10.643 -0.141 6.403
K -11.248 -4.458 2.809
K -8.342 -0.507 -3.907
K -2.193 0.120 4.667
K 1.622 -1.662 7.645
K -6.514 -7.318 3.967
K -3.047 -6.480 -3.546
K -9.823 3.683 -1.290
K 0.000 0.000 0.000
```

Record 4
A relaxed structure of Na3Np3GaSe8. Source: the Alexandria database, functional PBE.

Values from the calculation:
total moment = 10.8 μB per cell
raw formation energy = -1.042 eV per atom

Structure (extended XYZ):
```
15
Lattice="-7.920 -1.707 1.586 4.044 -4.220 -5.833 1.911 -1.314 8.130" Properties=species:S:1:pos:R:3 pbc="T T T"
Se -2.521 -4.288 4.282
Se -5.466 -1.753 3.428
Se 1.408 -3.306 3.472
Se -3.373 -3.933 0.410
Se 0.556 -2.952 -0.399
Se -0.600 -6.371 1.275
Se -1.366 -0.869 2.607
Se 3.501 -5.487 0.454
Na 2.022 -2.110 -2.917
Na -1.938 -2.963 -2.124
Na 0.000 0.000 0.000
Ga 0.955 -0.657 4.065
Np 2.977 -2.767 1.148
Np -0.983 -3.620 1.941
Np -3.004 -1.510 4.858
```

Record 5
A relaxed structure of Be2ReIr. Source: the Alexandria database, functional PBE.

Values from the calculation:
total moment = 0.0 μB per cell
relative energy among the computed polymorphs = 0.132 eV per atom
E_form = -0.76 eV/f.u.

Structure (extended XYZ):
```
4
Lattice="4.501 0.002 0.004 3.678 2.595 0.004 1.258 0.399 3.932" Properties=species:S:1:pos:R:3 pbc="T T T"
Re 2.372 0.753 0.785
Be 0.163 0.052 0.081
Be 6.930 2.200 2.850
Ir 4.692 1.489 2.194
```

Record 6
A relaxed structure of La3SiCl2. Source: the Alexandria database, functional PBE.

Values from the calculation:
total moment = 0.0 μB per cell
raw formation energy = -1.391 eV per atom

Structure (extended XYZ):
```
6
Lattice="4.365 0.000 0.000 0.000 5.974 0.000 -2.182 -2.987 6.262" Properties=species:S:1:pos:R:3 pbc="T T T"
La -1.091 1.493 5.124
La 3.274 1.493 1.138
La 1.091 -1.493 3.131
Cl -1.091 -1.493 5.190
Cl 3.274 4.480 1.072
Si 1.091 1.493 3.131
```

Question: Among the records above, which one has the highest total moment?
Answer: K5Ce3Br12

Question: Among the records above, which one has the highest total moment?
Answer: K5Ce3Br12